DFT (meta-GGA SCAN) results for a crystal of Mn3Tc relaxed with PBEsol.

Calculated values
Final energy (eV/atom): -22.398
SG: Fm-3m (225)

Geometry as extended XYZ:
```
4
Lattice="0.000 2.855 2.855 2.855 0.000 2.855 2.855 2.855 0.000" Properties=species:S:1:pos:R:3 pbc="T T T"
Mn 0.000 0.000 0.000
Mn 1.427 1.427 1.427
Mn 4.282 4.282 4.282
Tc 2.855 2.855 2.855
```

=====

DFT (meta-GGA SCAN) results for a crystal of KInCu2 relaxed with PBEsol.

Calculated values
Final energy (eV/atom): -17.572
SG: C2/m (12)

Geometry as extended XYZ:
```
4
Lattice="3.608 -3.608 0.000 3.608 3.608 0.000 -0.014 0.000 2.931" Properties=species:S:1:pos:R:3 pbc="T T T"
K 0.000 0.000 0.000
In 3.608 0.000 0.000
Cu 1.797 1.804 1.465
Cu 1.797 -1.804 1.465
```

=====

DFT (meta-GGA SCAN) results for a crystal of KScS3 relaxed with PBEsol.

Calculated values
Final energy (eV/atom): -9.688
SG: Pm-3m (221)
Formation energy without anion corrections (eV per atom): 0.6019

Geometry as extended XYZ:
```
5
Lattice="4.997 0.000 0.000 0.000 4.997 0.000 0.000 0.000 4.997" Properties=species:S:1:pos:R:3 pbc="T T T"
K 0.000 0.000 0.000
Sc 2.499 2.499 2.499
S 0.000 0.000 2.499
S 0.000 2.499 0.000
S 2.499 0.000 0.000
```

=====

DFT (meta-GGA SCAN) results for a crystal of Be2RePd relaxed with PBEsol.

Calculated values
Final energy (eV/atom): -28.216
SG: Fm-3m (225)
E above lowest polymorph (eV/atom): 0.000

Geometry as extended XYZ:
```
4
Lattice="0.000 2.811 2.811 2.811 0.000 2.811 2.811 2.811 0.000" Properties=species:S:1:pos:R:3 pbc="T T T"
Be 1.405 1.405 1.405
Be 4.216 4.216 4.216
Re 0.000 0.000 0.000
Pd 2.811 2.811 2.811
```

=====

DFT (meta-GGA SCAN) results for a crystal of MnP4O12 relaxed with PBEsol.

Calculated values
Final energy (eV/atom): -10.158
SG: P2_1/c (14)
Formation energy without anion corrections (eV per atom): -2.2393
E above lowest polymorph (eV/atom): 0.000

Geometry as extended XYZ:
```
34
Lattice="7.007 0.000 0.000 0.000 8.649 0.000 -4.791 0.000 6.761" Properties=species:S:1:pos:R:3 pbc="T T T"
Mn 0.000 0.000 0.000
Mn -2.395 4.325 3.380
P -0.211 2.078 2.371
P -2.606 2.247 5.751
P -0.379 0.573 5.038
P 2.016 3.752 1.658
P 0.200 4.898 5.103
P 2.595 8.076 1.723
P 4.822 6.403 1.010
P 2.427 6.571 4.390
O -0.589 1.464 1.036
O -2.985 2.861 4.416
O -3.408 1.013 6.049
O -1.012 3.312 2.669
O -1.286 4.953 4.735
O 1.110 8.021 1.354
O -0.342 0.978 3.470
O 2.054 3.346 0.089
O 1.229 4.970 1.836
O -1.166 8.004 5.216
O -1.064 1.878 5.717
O 1.332 2.447 2.337
O 0.884 6.202 4.424
O 3.280 6.772 1.044
O 3.382 0.646 1.545
O 0.987 3.679 4.925
O 0.162 5.303 6.671
O 2.558 7.671 3.291
O 1.106 0.628 5.407
O 3.502 3.697 2.026
O 3.228 5.337 4.092
O 5.624 7.637 0.712
O 5.201 5.788 2.344
O 2.805 7.186 5.725
```

=====

DFT (meta-GGA SCAN) results for a crystal of ScMnTe2 relaxed with PBEsol.

Calculated values
Final energy (eV/atom): -27.580
SG: Pmm2 (25)
Formation energy without anion corrections (eV per atom): -0.8315

Geometry as extended XYZ:
```
4
Lattice="4.048 0.000 0.000 0.000 5.688 0.000 0.000 0.000 4.102" Properties=species:S:1:pos:R:3 pbc="T T T"
Sc 0.000 0.000 0.000
Mn 2.024 2.844 2.612
Te 0.000 2.844 0.457
Te 2.024 0.000 2.097
```

=====

DFT (meta-GGA SCAN) results for a crystal of CrCuTcPd2 relaxed with PBEsol.

Calculated values
Final energy (eV/atom): -25.806
SG: P4/mmm (123)

Geometry as extended XYZ:
```
5
Lattice="4.449 0.000 0.000 0.000 4.449 0.000 0.000 0.000 4.333" Properties=species:S:1:pos:R:3 pbc="T T T"
Cr 0.000 0.000 0.000
Cu 0.000 0.000 2.167
Tc 2.224 2.224 0.000
Pd 0.000 2.224 2.167
Pd 2.224 0.000 2.167
```

=====

DFT (meta-GGA SCAN) results for a crystal of Li5Ni3Sb2O10 relaxed with PBEsol.

Calculated values
Final energy (eV/atom): -11.583
SG: P-1 (2)
Formation energy without anion corrections (eV per atom): -1.7177

Geometry as extended XYZ:
```
20
Lattice="5.143 0.000 0.000 -0.864 5.167 0.000 -2.539 -2.253 7.127" Properties=species:S:1:pos:R:3 pbc="T T T"
Li 0.000 0.000 0.000
Li -0.815 -1.159 4.895
Li -0.853 1.782 6.356
Li 2.594 1.132 0.771
Li 2.556 4.073 2.233
Ni -1.701 1.457 3.564
Ni 0.872 0.148 2.826
Ni 0.869 2.766 4.302
Sb 0.050 2.693 1.458
Sb 1.691 0.222 5.669
O -0.792 0.892 1.851
O -1.812 -0.290 6.797
O -0.802 3.393 3.130
O 0.832 4.491 1.107
O 0.076 0.826 4.666
O 1.665 2.088 2.462
O 0.909 -1.577 6.020
O 2.543 -0.479 3.998
O 3.553 3.204 0.330
O 2.533 2.022 5.276
```

=====

| no. | magnetic moment (μB/cell) | DOS(E_F) (states/eV/f.u.) | calculated density (g/cm³) |
| --- | --- | --- | --- |
| 1 | 3.61 | 3.14 | 9.38 |
| 2 | 0.00 | 1.00 | 6.12 |
| 3 | 0.00 | 4.16 | 2.40 |
| 4 | 0.00 | 5.24 | 11.62 |
| 5 | 5.77 | 0.00 | 3.01 |
| 6 | 4.49 | 1.79 | 6.24 |
| 7 | 0.08 | 1.42 | 8.26 |
| 8 | 5.19 | 3.70 | 5.39 |